DFT (PBE-GGA) results for a relaxed Ge2BCBr crystal.

The structure belongs to space group P4/mmm (No. 123); the cell edges are 5.1500, 5.1500 and 4.0958 Å and the angles 90.00°, 90.00° and 90.00°. Symmetry generates all atoms from Ge at (0.0000, 0.5000, 0.0000), B at (0.0000, 0.0000, 0.5000), C at (0.5000, 0.5000, 0.5000) and Br at (0.0000, 0.0000, 0.0000).

Its total energy is -0.09827 Ha/atom.